Record 1
Density functional theory data (PBE) for a relaxed CePm2Re crystal.

Properties
ΔH_f (0 K) = 1.9 eV per formula unit
space group = R-3m, No. 166

Lattice parameters (Å, degrees): 10.6040 10.6040 10.6040 18.77 18.77 18.77
Fractional positions:
Ce1 0.0000 0.0000 0.0000
Pm1 0.2351 0.2351 0.2351
Pm2 0.7649 0.7649 0.7649
Re1 0.5000 0.5000 0.5000

***

Record 2
Density functional theory data (PBE) for a relaxed CePmZnRe crystal.

Properties
ΔH_f (0 K) = 0.2 eV per formula unit
space group = F-43m, No. 216

Lattice parameters (Å, degrees): 5.0249 5.0249 5.0249 60.00 60.00 60.00
Fractional positions:
Ce1 0.0000 0.0000 0.0000
Pm1 0.5000 0.5000 0.5000
Zn1 0.2500 0.2500 0.2500
Re1 0.7500 0.7500 0.7500

***

Record 3
Density functional theory data (PBE) for a relaxed CePm2Rh crystal.

Properties
ΔE to the lowest computed polymorph = 0.61 eV/f.u.
ΔH_f (0 K) = -1.0 eV per formula unit
space group = P4/mmm, No. 123

Lattice parameters (Å, degrees): 3.5543 3.5543 8.6683 90.00 90.00 90.00
Fractional positions:
Ce1 0.0000 0.0000 0.0000
Pm1 0.5000 0.5000 0.3058
Pm2 0.5000 0.5000 0.6942
Rh1 0.0000 0.0000 0.5000